Entry from the Alexandria database: a relaxed Li2LaIr crystal (GGA-PBEsol).

The energy relative to the elements comes out at -0.02 eV per atom. The calculation puts the energy above the most stable polymorph in this dataset at 278 meV per atom.

The structure belongs to space group Pmmm (No. 47); the cell edges are 2.984, 4.241 and 5.541 Å and the angles 90.00°, 90.00° and 90.00°. The asymmetric unit holds Li at (0.000, 0.000, 0.189), La at (0.500, 0.500, 0.500) and Ir at (0.500, 0.500, 0.000).



Entry from the Alexandria database: a relaxed HfSnHg3 crystal (GGA-PBEsol).

The energy relative to the elements comes out at 0.65 eV per atom.

The structure belongs to space group Pm-3m (No. 221); the cell edges are 5.357, 5.357 and 5.357 Å and the angles 90.00°, 90.00° and 90.00°. The asymmetric unit holds Hf at (0.000, 0.000, 0.000), Sn at (0.500, 0.500, 0.500) and Hg at (0.000, 0.000, 0.500).



Entry from the Alexandria database: a relaxed TaInP2 crystal (GGA-PBEsol).

The energy relative to the elements comes out at -0.07 eV per atom.

The structure belongs to space group Cmmm (No. 65); the cell edges are 3.498, 4.701 and 9.176 Å and the angles 90.00°, 90.00° and 90.00°. The asymmetric unit holds Ta at (0.000, 0.000, 0.000), In at (0.000, 0.000, 0.500) and P at (0.000, 0.500, 0.196).



Entry from the Alexandria database: a relaxed CsHf2N2 crystal (GGA-PBEsol).

The structure belongs to space group I4/mmm (No. 139); the cell edges are 4.200, 4.200 and 14.696 Å and the angles 90.00°, 90.00° and 90.00°. The asymmetric unit holds Cs at (0.000, 0.000, 0.000), Hf at (0.000, 0.500, 0.250) and N at (0.000, 0.000, 0.221).



The energy results, record by record, are as follows: -4.799; -2.643; -6.850; -8.781 eV/atom.